Entry 1:
DFT (PBE-GGA) results for a relaxed Ac2Al3Pt4 crystal.

The calculation puts the density of states at the Fermi level at 0.59 states/eV/atom. The value obtained for the formation energy is -1.030 eV/atom. The calculation puts the total moment at 0.00 μB per formula unit. The calculation puts the calculated volume at 183 Å³/f.u.

It has space group Cmce (No. 64), with a = 5.867 Å, b = 16.282 Å, c = 7.683 Å, α = 90.00°, β = 90.00° and γ = 90.00°. The asymmetric unit holds Ac at (0.000, 0.109, 0.091), Al at (0.000, 0.000, 0.500), Al at (0.250, 0.223, 0.750), Pt at (0.000, 0.190, 0.472) and Pt at (0.250, 0.061, 0.750).

Entry 2:
DFT (PBE-GGA) results for a relaxed AcAlPt2 crystal.

The calculation puts the density of states at the Fermi level at 0.60 states/eV/atom. The value obtained for the formation energy is -1.147 eV/atom. The calculation puts the total moment at 0.00 μB per formula unit. The calculation puts the calculated volume at 89 Å³/f.u.

It has space group Pnma (No. 62), with a = 7.461 Å, b = 4.365 Å, c = 10.881 Å, α = 90.00°, β = 90.00° and γ = 90.00°. The asymmetric unit holds Ac at (0.151, 0.250, 0.138), Al at (0.029, 0.750, 0.397), Pt at (0.143, 0.250, 0.803) and Pt at (0.204, 0.250, 0.434).